First-principles (PBE-GGA) data for a relaxed structure of RbSnGe, as listed in Alexandria.

formation enthalpy at 0 K: -0.130 eV per atom
symmetry: No. 8
raw total energy: -3.33 eV/atom

a b c (Å): 7.4552 7.4552 8.5653
angles (deg): 120.73 120.73 32.81
Last column: nearest neighbours and their distance in Å.
Element x y z (fractional)
1 Rb 0.0000 0.0000 0.0000  5 Ge 3.65-4.08, 4 Sn 3.88-3.91
2 Rb 0.1004 0.1004 0.5968  2 Ge 3.66, 5 Sn 3.79-4.00
3 Sn 0.3491 0.3491 0.5499  2 Ge 2.75, 1 Sn 3.03
4 Sn 0.3610 0.3610 0.2074  2 Ge 2.79, 1 Sn 3.03
5 Ge 0.7180 0.7180 0.0096  1 Ge 2.55, 2 Sn 2.79
6 Ge 0.7336 0.7336 0.3199  1 Ge 2.55, 2 Sn 2.75

=====

First-principles (PBE-GGA) data for a relaxed structure of RbSn3Ge, as listed in Alexandria.

formation enthalpy at 0 K: 0.261 eV per atom
symmetry: No. 221
raw total energy: -3.26 eV/atom

a b c (Å): 5.5801 5.5801 5.5801
angles (deg): 90.00 90.00 90.00
Last column: nearest neighbours and their distance in Å.
Element x y z (fractional)
1 Rb 0.0000 0.0000 0.0000  12 Sn 3.95
2 Sn 0.0000 0.5000 0.5000  2 Ge 2.79
3 Sn 0.5000 0.0000 0.5000  2 Ge 2.79
4 Sn 0.5000 0.5000 0.0000  2 Ge 2.79
5 Ge 0.5000 0.5000 0.5000  6 Sn 2.79

=====

First-principles (PBE-GGA) data for a relaxed structure of RbSn2Ge2, as listed in Alexandria.

formation enthalpy at 0 K: 0.007 eV per atom
symmetry: No. 127
raw total energy: -3.64 eV/atom

a b c (Å): 8.9045 8.9045 3.8844
angles (deg): 90.00 90.00 90.00
Last column: nearest neighbours and their distance in Å.
Element x y z (fractional)
1 Rb 0.0000 0.0000 0.0000  4 Ge 3.59, 2 Rb 3.88, 8 Sn 3.99
2 Rb 0.5000 0.5000 0.0000  4 Ge 3.59, 2 Rb 3.88, 8 Sn 3.99
3 Sn 0.1312 0.3688 0.5000  4 Ge 2.92
4 Sn 0.3688 0.8688 0.5000  4 Ge 2.92
5 Sn 0.6312 0.1312 0.5000  4 Ge 2.92
6 Sn 0.8688 0.6312 0.5000  4 Ge 2.92
7 Ge 0.1136 0.6136 0.0000  1 Ge 2.86, 4 Sn 2.92
8 Ge 0.3864 0.1136 0.0000  1 Ge 2.86, 4 Sn 2.92
9 Ge 0.6136 0.8864 0.0000  1 Ge 2.86, 4 Sn 2.92
10 Ge 0.8864 0.3864 0.0000  1 Ge 2.86, 4 Sn 2.92

=====

First-principles (PBE-GGA) data for a relaxed structure of RbSn3Ge, as listed in Alexandria.

formation enthalpy at 0 K: -0.097 eV per atom
symmetry: No. 1
raw total energy: -3.62 eV/atom

a b c (Å): 5.0885 5.0929 7.1645
angles (deg): 70.00 69.90 89.81
Last column: nearest neighbours and their distance in Å.
Element x y z (fractional)
1 Rb 0.0000 0.0000 0.0000  12 Sn 3.85-4.12, 4 Ge 3.87-4.02
2 Sn 0.2557 0.7519 0.4868  2 Ge 2.92-2.94, 2 Sn 3.07-3.08
3 Sn 0.6212 0.6211 0.7631  4 Sn 3.07-3.08, 1 Ge 3.09
4 Sn 0.7531 0.2550 0.4871  2 Ge 2.92-2.94, 2 Sn 3.07-3.08
5 Ge 0.3663 0.3644 0.2558  5 Sn 2.92-3.09

=====

First-principles (PBE-GGA) data for a relaxed structure of RbSnGe, as listed in Alexandria.

formation enthalpy at 0 K: 0.009 eV per atom
symmetry: No. 65
raw total energy: -3.19 eV/atom

a b c (Å): 8.4807 8.4807 4.9491
angles (deg): 90.00 90.00 140.07
Last column: nearest neighbours and their distance in Å.
Element x y z (fractional)
1 Rb 0.1569 0.8431 0.0000  4 Ge 3.73, 6 Sn 3.83-4.16, 2 Rb 4.15
2 Rb 0.8431 0.1569 0.0000  4 Ge 3.73, 6 Sn 3.83-4.16, 2 Rb 4.15
3 Sn 0.3664 0.6336 0.5000  2 Ge 2.70
4 Sn 0.6336 0.3664 0.5000  2 Ge 2.70
5 Ge 0.2123 0.2123 0.5000  1 Ge 2.46, 2 Sn 2.70
6 Ge 0.7877 0.7877 0.5000  1 Ge 2.46, 2 Sn 2.70

=====

First-principles (PBE-GGA) data for a relaxed structure of RbSn3Ge, as listed in Alexandria.

formation enthalpy at 0 K: 0.061 eV per atom
symmetry: No. 12
raw total energy: -3.46 eV/atom

a b c (Å): 7.6884 7.6884 8.9022
angles (deg): 107.62 107.62 50.73
Last column: nearest neighbours and their distance in Å.
Element x y z (fractional)
1 Rb 0.2161 0.2161 0.1675  9 Sn 3.83-3.98, 1 Ge 4.06
2 Rb 0.7839 0.7839 0.8325  9 Sn 3.83-3.98, 1 Ge 4.06
3 Sn 0.2072 0.7366 0.2287  2 Ge 2.81-2.90, 2 Sn 3.05-3.10
4 Sn 0.2634 0.7928 0.7713  2 Ge 2.81-2.90, 2 Sn 3.05-3.10
5 Sn 0.3398 0.3398 0.6256  1 Ge 2.81, 2 Sn 3.05
6 Sn 0.6602 0.6602 0.3744  1 Ge 2.81, 2 Sn 3.05
7 Sn 0.7366 0.2072 0.2287  2 Ge 2.81-2.90, 2 Sn 3.05-3.10
8 Sn 0.7928 0.2634 0.7713  2 Ge 2.81-2.90, 2 Sn 3.05-3.10
9 Ge 0.5000 0.5000 0.0000  4 Sn 2.81
10 Ge 0.5000 0.5000 0.5000  6 Sn 2.81-2.90

=====

First-principles (PBE-GGA) data for a relaxed structure of Rb2SnGe, as listed in Alexandria.

formation enthalpy at 0 K: 0.341 eV per atom
symmetry: No. 225
raw total energy: -2.30 eV/atom

a b c (Å): 5.9935 5.9935 5.9935
angles (deg): 60.00 60.00 60.00
Last column: nearest neighbours and their distance in Å.
Element x y z (fractional)
1 Rb 0.2500 0.2500 0.2500  4 Ge 3.67, 4 Sn 3.67
2 Rb 0.7500 0.7500 0.7500  4 Sn 3.67, 4 Ge 3.67
3 Sn 0.0000 0.0000 0.0000  8 Rb 3.67
4 Ge 0.5000 0.5000 0.5000  8 Rb 3.67

=====

First-principles (PBE-GGA) data for a relaxed structure of RbSnGe, as listed in Alexandria.

formation enthalpy at 0 K: -0.116 eV per atom
symmetry: No. 156
raw total energy: -3.31 eV/atom

a b c (Å): 4.4668 4.4668 6.1506
angles (deg): 90.00 90.00 120.00
Last column: nearest neighbours and their distance in Å.
Element x y z (fractional)
1 Rb 0.0000 0.0000 0.0000  3 Ge 3.59, 3 Sn 3.77
2 Sn 0.3333 0.6667 0.4480  3 Ge 2.73
3 Ge 0.6667 0.3333 0.5937  3 Sn 2.73